# 1
11
Lattice="9.4322 -3.4185 0.0000 9.4322 3.4185 0.0000 -0.2619 0.0000 5.4735" Properties=species:S:1:pos:R:3 comment="Tb2CeTm8 PBE optimized geometry" mass_density_g_cm3=8.5 polymorph_energy_mev_per_atom=132.8 pbc="T T T"
Tb 4.0146 0.0000 1.3560
Tb 14.5879 0.0000 4.1175
Ce 9.4322 0.0000 0.0000
Tm 0.8194 0.0000 1.3025
Tm 6.8710 1.8142 1.4614
Tm 5.7151 0.0000 4.1909
Tm 11.7315 1.8142 4.0121
Tm 6.8710 -1.8142 1.4614
Tm 12.8874 0.0000 1.2826
Tm 11.7315 -1.8142 4.0121
Tm 17.7831 0.0000 4.1710



# 2
12
Lattice="9.8911 -2.8236 0.0000 9.8911 2.8236 0.0000 -0.0353 0.0000 7.0973" Properties=species:S:1:pos:R:3 comment="LaPmHo3Th PBE optimized geometry" mass_density_g_cm3=8.5 energy_ev_per_cell=-59.08 pbc="T T T"
La 2.8650 0.0000 3.2279
La 16.8819 0.0000 3.8694
Pm 2.9354 0.0000 0.2493
Pm 16.8115 0.0000 6.8480
Ho 0.4440 0.0000 5.3512
Ho 5.4930 0.0000 5.3048
Ho 6.7701 0.0000 1.7248
Ho 12.9768 0.0000 5.3725
Ho 14.2539 0.0000 1.7925
Ho 19.3029 0.0000 1.7461
Th 8.8166 0.0000 5.4779
Th 10.9303 0.0000 1.6194



# 3
16
Lattice="2.5221 -7.8392 0.0000 2.5221 7.8392 0.0000 0.0000 0.0000 16.3297" Properties=species:S:1:pos:R:3 comment="KAc2HgTe4 PBE optimized geometry" mass_density_g_cm3=6.2 formation_energy_uncorrected_kj_per_mol_atoms=-110.7 pbc="T T T"
K 2.5221 5.8403 12.2473
K 2.5221 -5.8403 4.0824
Ac 2.5221 2.0452 9.1948
Ac 2.5221 2.0452 15.2999
Ac 2.5221 -2.0452 1.0299
Ac 2.5221 -2.0452 7.1350
Hg 2.5221 5.8344 4.0824
Hg 2.5221 -5.8344 12.2473
Te 0.0000 0.0000 0.0000
Te 0.0000 0.0000 8.1649
Te 2.5221 3.7016 1.8581
Te 2.5221 3.7016 6.3068
Te 2.5221 0.6428 12.2473
Te 2.5221 -0.6428 4.0824
Te 2.5221 -3.7016 10.0229
Te 2.5221 -3.7016 14.4717



| no. | total moment (μB/f.u.) |
| --- | --- |
| 1 | 1.0 |
| 2 | 0.0 |
| 3 | 0.0 |